Entry from Alexandria via LeMat-Bulk: a relaxed structure of Pr5Nd4Ho2 (PBE).

Results
E_form = 0.221 eV per atom
uncorrected energy = -4.518 eV/atom
total moment = 0.00 μB per cell
energy above the lowest structure with this stoichiometry = 86 meV per atom

Cell and atoms, written as CIF:
```
data_Pr5Nd4Ho2
_space_group_name_H-M_alt 'I m m m'
_space_group_IT_number 71
_space_group_name_Hall '-I 2 2'
_cell_length_a 3.5567
_cell_length_b 9.5611
_cell_length_c 23.4451
_cell_angle_alpha 90.00
_cell_angle_beta 90.00
_cell_angle_gamma 90.00
loop_
_atom_site_label
_atom_site_type_symbol
_atom_site_fract_x
_atom_site_fract_y
_atom_site_fract_z
_atom_site_occupancy
Pr1 Pr 0.0000 0.0000 0.0000 1
Pr2 Pr 0.0000 0.2937 0.3483 1
Nd1 Nd 0.0000 0.2020 0.5000 1
Nd2 Nd 0.0000 0.5000 0.0955 1
Ho1 Ho 0.0000 0.5000 0.2299 1
```